This record from the Alexandria database describes a geometry-optimized Pr8Ge3I4Br structure. The functional is PBE-GGA.

Cell: 8.7964 9.2159 8.7970 Å, 118.51 120.00 90.00°
Fractional coordinates of all 16 atoms:
Br  0.0000  0.5000  0.0000
I  0.0000  0.0000  0.0000
Pr  0.2836  0.2987  0.0411
Pr  0.7575  0.2987  0.5151
I  0.5000  0.0000  0.0000
Ge  0.5000  0.5000  0.0000
Pr  0.2425  0.7013  0.9589
I  0.5000  0.0000  0.5000
Pr  0.2667  0.3000  0.5333
Pr  0.2425  0.7013  0.4849
Ge  0.5000  0.5000  0.5000
I  0.0000  0.0000  0.5000
Pr  0.7575  0.2987  0.0411
Pr  0.7164  0.7013  0.9589
Pr  0.7333  0.7000  0.4667
Ge  0.0000  0.5000  0.5000

crystal system: trigonal

---

This record from the Alexandria database describes a geometry-optimized RbGeIBr2 structure. The functional is PBE-GGA.

Cell: 5.5713 5.5713 5.9700 Å, 90.00 90.00 90.00°
Fractional coordinates of all 5 atoms:
Br  0.5000  0.0000  0.0000
Rb  0.5000  0.5000  0.5000
I  0.0000  0.0000  0.5000
Br  0.0000  0.5000  0.0000
Ge  0.0000  0.0000  0.0000

crystal system: tetragonal

---

This record from the Alexandria database describes a geometry-optimized GeSeIBr2 structure. The functional is PBE-GGA.

Cell: 5.7066 5.7066 5.4883 Å, 90.00 90.00 90.00°
Last column: magnetic moment on the atom in μB.
Fractional coordinates of all 5 atoms:
Br  0.5000  0.0000  0.0000  -0.01
I  0.0000  0.0000  0.0000  -0.01
Ge  0.5000  0.5000  0.5000  0.34
Br  0.0000  0.5000  0.0000  -0.01
Se  0.0000  0.0000  0.5000  -0.07

offset from the most stable computed form: 49.0 kJ per mole of atoms
crystal system: tetragonal

---

This record from the Alexandria database describes a geometry-optimized GeSeIBr2 structure. The functional is PBE-GGA.

Cell: 5.0555 5.0555 5.8404 Å, 90.00 90.00 90.00°
Fractional coordinates of all 5 atoms:
I  0.5000  0.5000  0.5000
Se  0.0000  0.0000  0.5000
Ge  0.0000  0.0000  0.0000
Br  0.0000  0.5000  0.0000
Br  0.5000  0.0000  0.0000

offset from the most stable computed form: 0.0 kJ per mole of atoms
crystal system: tetragonal

---

This record from the Alexandria database describes a geometry-optimized Sr8Ge3I4Br structure. The functional is PBE-GGA.

Cell: 9.3257 9.7311 9.3272 Å, 118.63 119.99 90.00°
Fractional coordinates of all 16 atoms:
I  0.0000  0.0000  0.5000
Ge  0.0000  0.5000  0.5000
Sr  0.7548  0.2953  0.0406
Sr  0.2452  0.7048  0.4904
Sr  0.2858  0.2953  0.0406
I  0.5000  0.0000  0.0000
Sr  0.7548  0.2952  0.5096
I  0.5000  0.0000  0.5000
Sr  0.7353  0.7059  0.4705
Sr  0.2452  0.7047  0.9594
Br  0.0000  0.5000  0.0000
Sr  0.2647  0.2941  0.5295
I  0.0000  0.0000  0.0000
Ge  0.5000  0.5000  0.0000
Sr  0.7142  0.7047  0.9594
Ge  0.5000  0.5000  0.5000

crystal system: trigonal

---

This record from the Alexandria database describes a geometry-optimized GeTe2IBr structure. The functional is PBE-GGA.

Cell: 5.5124 5.5124 5.5705 Å, 90.00 90.00 90.00°
Fractional coordinates of all 5 atoms:
Te  0.0000  0.5000  0.0000
Te  0.5000  0.0000  0.0000
Ge  0.0000  0.0000  0.0000
Br  0.5000  0.5000  0.5000
I  0.0000  0.0000  0.5000

offset from the most stable computed form: 0.0 kJ per mole of atoms
crystal system: tetragonal

---

This record from the Alexandria database describes a geometry-optimized GeTeI2Br structure. The functional is PBE-GGA.

Cell: 5.6017 5.6017 5.6457 Å, 90.00 90.00 90.00°
Fractional coordinates of all 5 atoms:
I  0.5000  0.0000  0.0000
Te  0.0000  0.0000  0.5000
I  0.0000  0.5000  0.0000
Ge  0.0000  0.0000  0.0000
Br  0.5000  0.5000  0.5000

offset from the most stable computed form: 0.0 kJ per mole of atoms
crystal system: tetragonal

---

This record from the Alexandria database describes a geometry-optimized GeTeI2Br structure. The functional is PBE-GGA.

Cell: 5.7128 5.7128 5.9466 Å, 90.00 90.00 90.00°
Last column: magnetic moment on the atom in μB.
Fractional coordinates of all 5 atoms:
Ge  0.5000  0.5000  0.5000  0.18
I  0.5000  0.0000  0.0000  -0.01
Te  0.0000  0.0000  0.5000  -0.20
Br  0.0000  0.0000  0.0000  -0.04
I  0.0000  0.5000  0.0000  -0.01

offset from the most stable computed form: 43.5 kJ per mole of atoms
crystal system: tetragonal

---

no.,calculated total energy (eV per atom),ΔE_f (raw) (meV per atom)
1,-4.7848,-1037.2
2,-3.0475,-951.3
3,-1.9616,637.9
4,-2.4691,130.4
5,-3.3237,-1124.9
6,-2.4331,391.7
7,-2.2193,287.2
8,-1.7686,737.8